(1)
## Fe3W (GGA-PBEsol)

Data for a relaxed Fe3W crystal.

- Calculated total energy: -10.107 eV/atom
- D(E_F): 0.750 states/eV/atom

Unit cell a=2.882 b=2.882 c=5.789 alpha=90.00 beta=90.00 gamma=90.00
Space group P4/mmm (No. 123)
Asymmetric unit:
Fe: 0.000 0.000 0.000 (multiplicity 1)
Fe: 0.500 0.500 0.234 (multiplicity 2)
W: 0.000 0.000 0.500 (multiplicity 1)

***

(2)
## FeW2 (GGA-PBEsol)

Data for a relaxed FeW2 crystal.

- Calculated total energy: -12.001 eV/atom
- D(E_F): 0.620 states/eV/atom

Unit cell a=4.3610 b=4.3610 c=2.6125 alpha=90.00 beta=90.00 gamma=120.00
Space group P-3m1 (No. 164)
Asymmetric unit:
Fe: 0.0000 0.0000 0.0000 (multiplicity 1)
W: 0.3333 0.6667 0.3251 (multiplicity 2)